1.
Material: YGaCo2Ge
Method: DFT, GGA-PBE
State: optimized geometry

Lattice parameters (Å, degrees): 4.4451 4.7952 4.4451 90.00 90.00 90.00
Site moments in Bohr magnetons follow the coordinates.
Sites, in units of the cell vectors:
Co (0.0000, 0.0000, 0.5000)  1.21
Ga (0.0000, 0.0000, 0.0000)  -0.07
Y (0.5000, 0.5000, 0.5000)  -0.08
Co (0.5000, 0.0000, 0.0000)  1.19
Ge (0.0000, 0.5000, 0.0000)  0.04

Symmetry: P4/mmm
ΔE_f, meV per atom: 332.3

=====

2.
Material: ZnGa2CoGe
Method: DFT, GGA-PBE
State: optimized geometry

Lattice parameters (Å, degrees): 4.6141 4.4566 4.6141 90.00 90.00 90.00
Sites, in units of the cell vectors:
Ge (0.0000, 0.5000, 0.0000)
Zn (0.5000, 0.5000, 0.5000)
Ga (0.0000, 0.0000, 0.5000)
Co (0.0000, 0.0000, 0.0000)
Ga (0.5000, 0.0000, 0.0000)

Symmetry: P4/mmm
ΔE_f, meV per atom: 48.3

=====

3.
Material: Ga2Co2H
Method: DFT, GGA-PBE
State: optimized geometry

Lattice parameters (Å, degrees): 5.2800 5.2800 3.9551 90.00 90.00 90.00
Site moments in Bohr magnetons follow the coordinates.
Sites, in units of the cell vectors:
Ga (0.6635, 0.8365, 0.5000)  -0.03
Ga (0.8365, 0.3365, 0.5000)  -0.03
Co (0.1659, 0.3341, 0.0000)  0.60
Ga (0.3365, 0.1635, 0.5000)  -0.03
Co (0.3341, 0.8341, 0.0000)  0.62
H (0.0000, 0.0000, 0.0000)  -0.01
Ga (0.1635, 0.6635, 0.5000)  -0.03
Co (0.6659, 0.1659, 0.0000)  0.62
Co (0.8341, 0.6659, 0.0000)  0.60
H (0.5000, 0.5000, 0.0000)  -0.01

Symmetry: P4/mbm
E, eV per cell: -47.5

=====

4.
Material: Ga2Co4H
Method: DFT, GGA-PBE
State: optimized geometry

Lattice parameters (Å, degrees): 3.5352 3.5352 6.5525 105.65 105.65 90.00
Site moments in Bohr magnetons follow the coordinates.
Sites, in units of the cell vectors:
H (0.0000, 0.0000, 0.0000)  -0.01
Co (0.1578, 0.1578, 0.3155)  0.62
Co (0.5000, 0.0000, 0.0000)  0.85
Co (0.0000, 0.5000, 0.0000)  0.85
Ga (0.6454, 0.6454, 0.2907)  -0.06
Ga (0.3546, 0.3546, 0.7093)  -0.06
Co (0.8422, 0.8422, 0.6845)  0.62

Symmetry: I4/mmm
E, eV per cell: -38.2

=====

5.
Material: GaCo2H
Method: DFT, GGA-PBE
State: optimized geometry

Lattice parameters (Å, degrees): 2.5591 2.5591 5.9064 90.00 90.00 90.00
Site moments in Bohr magnetons follow the coordinates.
Sites, in units of the cell vectors:
H (0.5000, 0.5000, 0.0000)  -0.01
Co (0.0000, 0.0000, 0.1913)  1.05
Ga (0.5000, 0.5000, 0.5000)  -0.05
Co (0.0000, 0.0000, 0.8087)  1.05

Symmetry: P4/mmm
E, eV per cell: -19.6

=====

6.
Material: GaCo2H2
Method: DFT, GGA-PBE
State: optimized geometry

Lattice parameters (Å, degrees): 2.7688 2.7688 5.3436 90.00 90.00 90.00
Sites, in units of the cell vectors:
Co (0.5000, 0.5000, 0.2784)
H (0.0000, 0.5000, 0.5000)
Co (0.5000, 0.5000, 0.7216)
H (0.5000, 0.0000, 0.5000)
Ga (0.0000, 0.0000, 0.0000)

Symmetry: P4/mmm
E, eV per cell: -24.0

=====

7.
Material: GaCo2H2
Method: DFT, GGA-PBE
State: optimized geometry

Lattice parameters (Å, degrees): 4.5959 4.5959 5.0616 107.00 107.00 115.60
Site moments in Bohr magnetons follow the coordinates.
Sites, in units of the cell vectors:
Ga (0.1356, 0.3644, 0.2500)  -0.03
Co (0.5315, 0.9685, 0.7500)  0.50
H (0.5377, 0.7650, 0.9938)  -0.01
Ga (0.8644, 0.6356, 0.7500)  -0.03
Co (0.1787, 0.3213, 0.7500)  0.57
H (0.4623, 0.2350, 0.0062)  -0.01
H (0.7350, 0.9623, 0.5062)  -0.01
Co (0.8213, 0.6787, 0.2500)  0.57
H (0.2650, 0.0377, 0.4938)  -0.01
Co (0.4685, 0.0315, 0.2500)  0.50

Symmetry: C2/c
E, eV per cell: -48.1

=====

8.
Material: GaCo2H
Method: DFT, GGA-PBE
State: optimized geometry

Lattice parameters (Å, degrees): 3.8607 3.8607 3.8607 60.00 60.00 60.00
Site moments in Bohr magnetons follow the coordinates.
Sites, in units of the cell vectors:
Co (0.7500, 0.7500, 0.7500)  0.62
H (0.0000, 0.0000, 0.0000)  -0.01
Co (0.2500, 0.2500, 0.2500)  0.62
Ga (0.5000, 0.5000, 0.5000)  -0.05

Symmetry: Fm-3m
E, eV per cell: -18.8

=====

9.
Material: GaCoH2
Method: DFT, GGA-PBE
State: optimized geometry

Lattice parameters (Å, degrees): 2.8335 2.8336 4.5721 108.25 108.25 89.91
Site moments in Bohr magnetons follow the coordinates.
Sites, in units of the cell vectors:
Co (0.6272, 0.1272, 0.2536)  0.40
H (0.5294, 0.5296, 0.0608)  -0.01
Ga (0.3138, 0.8137, 0.6248)  0.00
H (0.0296, 0.0294, 0.0608)  -0.01

Symmetry: Cm
E, eV per cell: -17.0

=====

10.
Material: GaCoH2
Method: DFT, GGA-PBE
State: optimized geometry

Lattice parameters (Å, degrees): 3.5572 3.5572 3.5572 60.00 60.00 60.00
Sites, in units of the cell vectors:
H (0.2500, 0.2500, 0.2500)
H (0.7500, 0.7500, 0.7500)
Ga (0.5000, 0.5000, 0.5000)
Co (0.0000, 0.0000, 0.0000)

Symmetry: Fm-3m
E, eV per cell: -14.2

=====

11.
Material: GaCo2H2
Method: DFT, GGA-PBE
State: optimized geometry

Lattice parameters (Å, degrees): 5.3105 5.3105 3.0104 90.00 90.00 90.00
Site moments in Bohr magnetons follow the coordinates.
Sites, in units of the cell vectors:
Co (0.1743, 0.3257, 0.5000)  0.59
H (0.1033, 0.3967, 0.0000)  -0.01
Co (0.6743, 0.1743, 0.5000)  0.61
H (0.8967, 0.6033, 0.0000)  -0.01
Ga (0.5000, 0.5000, 0.0000)  -0.03
Ga (0.0000, 0.0000, 0.0000)  -0.03
Co (0.8257, 0.6743, 0.5000)  0.59
H (0.3967, 0.8967, 0.0000)  -0.01
H (0.6033, 0.1033, 0.0000)  -0.01
Co (0.3257, 0.8257, 0.5000)  0.61

Symmetry: P4/mbm
E, eV per cell: -46.5

=====

12.
Material: GaCo2H
Method: DFT, GGA-PBE
State: optimized geometry

Lattice parameters (Å, degrees): 2.6999 2.6999 6.1670 77.36 77.36 60.00
Site moments in Bohr magnetons follow the coordinates.
Sites, in units of the cell vectors:
H (0.6679, 0.6679, 0.9964)  -0.01
Ga (0.4994, 0.4994, 0.5019)  -0.05
Co (0.2762, 0.2762, 0.1713)  1.06
Co (0.0565, 0.0565, 0.8304)  0.98

Symmetry: R3m
E, eV per cell: -20.8